## K3VO4 (PBE+U)

Data for a relaxed K3VO4 crystal.

Cell and atoms, written as POSCAR:
```
K3VO4
1.0
8.4443 0.0000 0.0000
0.0000 8.4443 0.0000
0.0000 0.0000 8.4443
K V O
12 4 16
direct
0.0101 0.4899 0.5101
0.0335 0.5335 0.9665
0.2221 0.2221 0.2221
0.2779 0.7779 0.7221
0.4665 0.4665 0.4665
0.4899 0.5101 0.0101
0.5101 0.0101 0.4899
0.5335 0.9665 0.0335
0.7221 0.2779 0.7779
0.7779 0.7221 0.2779
0.9665 0.0335 0.5335
0.9899 0.9899 0.9899
0.2365 0.2635 0.7365
0.2635 0.7365 0.2365
0.7365 0.2365 0.2635
0.7635 0.7635 0.7635
0.0365 0.2434 0.7894
0.1453 0.8547 0.3547
0.2106 0.5365 0.2566
0.2434 0.7894 0.0365
0.2566 0.2106 0.5365
0.2894 0.4635 0.7566
0.3547 0.1453 0.8547
0.4635 0.7566 0.2894
0.5365 0.2566 0.2106
0.6453 0.6453 0.6453
0.7106 0.9635 0.7434
0.7434 0.7106 0.9635
0.7566 0.2894 0.4635
0.7894 0.0365 0.2434
0.8547 0.3547 0.1453
0.9635 0.7434 0.7106
```

Values from the calculation:
The density of states at the Fermi level comes out at 0.000 states/eV per atom. Its final energy is -184.4 eV per cell. The value obtained for the total magnetic moment is 0.00 μB per formula unit.